(1)
The following is a DFT calculation (PBE) of a relaxed structure of Ti6PdN2.

spin magnetization: 0.0 Bohr magnetons per cell

a = 10.254 Å, b = 4.104 Å, c = 7.248 Å
α = 90.00°, β = 119.03°, γ = 90.00°
Space group C2/m (No. 12)
Asymmetric unit:
Ti 0.025 0.000 0.188 x4
Ti 0.174 0.500 0.572 x4
Ti 0.196 0.500 0.082 x4
Pd 0.000 0.000 0.500 x2
N 0.184 0.000 0.088 x4

---

(2)
The following is a DFT calculation (PBE) of a relaxed structure of Ti2PdN.

spin magnetization: 0.0 Bohr magnetons per cell

a = 5.762 Å, b = 5.762 Å, c = 7.343 Å
α = 90.00°, β = 90.00°, γ = 90.00°
Space group I-42d (No. 122)
Asymmetric unit:
Ti 0.164 0.250 0.125 x8
Pd 0.000 0.000 0.500 x4
N 0.000 0.000 0.000 x4

---

(3)
The following is a DFT calculation (PBE) of a relaxed structure of Ti3PdN.

spin magnetization: 0.0 Bohr magnetons per cell

a = 8.935 Å, b = 11.906 Å, c = 5.246 Å
α = 90.00°, β = 90.00°, γ = 90.00°
Space group Cmce (No. 64)
Asymmetric unit:
Ti 0.000 0.050 0.224 x8
Ti 0.000 0.227 0.547 x8
Ti 0.250 0.095 0.750 x8
Pd 0.250 0.169 0.250 x8
N 0.000 0.118 0.858 x8

---

(4)
The following is a DFT calculation (PBE) of a relaxed structure of Ti3PdN.

spin magnetization: 0.0 Bohr magnetons per cell

a = 5.2712 Å, b = 5.2712 Å, c = 18.9087 Å
α = 90.00°, β = 90.00°, γ = 120.00°
Space group R-3 (No. 148, hexagonal axes)
Asymmetric unit:
Ti 0.0041 0.3235 0.2737 x18
Pd 0.0000 0.0000 0.1627 x6
N 0.0000 0.0000 0.3387 x6

---

(5)
The following is a DFT calculation (PBE) of a relaxed structure of TiV2PdN.

spin magnetization: 0.0 Bohr magnetons per cell

a = 3.910 Å, b = 3.910 Å, c = 4.184 Å
α = 90.00°, β = 90.00°, γ = 90.00°
Space group P4/mmm (No. 123)
Asymmetric unit:
Ti 0.000 0.000 0.000 x1
V 0.000 0.500 0.500 x2
Pd 0.500 0.500 0.000 x1
N 0.000 0.000 0.500 x1

---

(6)
The following is a DFT calculation (PBE) of a relaxed structure of Y2TiPdN.

spin magnetization: 0.9 Bohr magnetons per cell

a = 4.897 Å, b = 4.897 Å, c = 3.967 Å
α = 90.00°, β = 90.00°, γ = 90.00°
Space group P4/mmm (No. 123)
Asymmetric unit:
Y 0.000 0.500 0.000 x2
Ti 0.000 0.000 0.500 x1
Pd 0.500 0.500 0.500 x1
N 0.000 0.000 0.000 x1

---

(7)
The following is a DFT calculation (PBE) of a relaxed structure of Zr2TiPdN.

spin magnetization: 0.5 Bohr magnetons per cell

a = 4.492 Å, b = 4.492 Å, c = 4.068 Å
α = 90.00°, β = 90.00°, γ = 90.00°
Space group P4/mmm (No. 123)
Asymmetric unit:
Zr 0.000 0.500 0.000 x2
Ti 0.000 0.000 0.500 x1
Pd 0.500 0.500 0.500 x1
N 0.000 0.000 0.000 x1

---

(8)
The following is a DFT calculation (PBE) of a relaxed structure of Tl3PdN.

offset from the most stable computed form: 0.0 meV/atom
spin magnetization: 0.0 Bohr magnetons per cell

a = 4.870 Å, b = 4.870 Å, c = 4.870 Å
α = 90.00°, β = 90.00°, γ = 90.00°
Space group Pm-3m (No. 221)
Asymmetric unit:
Tl 0.000 0.000 0.500 x3
Pd 0.500 0.500 0.500 x1
N 0.000 0.000 0.000 x1

---

(9)
The following is a DFT calculation (PBE) of a relaxed structure of TlPdN3.

spin magnetization: 4.6 Bohr magnetons per cell

a = 4.285 Å, b = 4.285 Å, c = 4.285 Å
α = 90.00°, β = 90.00°, γ = 90.00°
Space group Pm-3m (No. 221)
Asymmetric unit:
Tl 0.000 0.000 0.000 x1
Pd 0.500 0.500 0.500 x1
N 0.000 0.000 0.500 x3

---

(10)
The following is a DFT calculation (PBE) of a relaxed structure of TlPdN2.

offset from the most stable computed form: 848.3 meV/atom
spin magnetization: 0.0 Bohr magnetons per cell

a = 3.2491 Å, b = 3.2491 Å, c = 19.2012 Å
α = 90.00°, β = 90.00°, γ = 120.00°
Space group R-3m (No. 166, hexagonal axes)
Asymmetric unit:
Tl 0.0000 0.0000 0.0000 x3
Pd 0.0000 0.0000 0.5000 x3
N 0.0000 0.0000 0.1171 x6

---

(11)
The following is a DFT calculation (PBE) of a relaxed structure of Tl2PdN2.

spin magnetization: 0.0 Bohr magnetons per cell

a = 6.772 Å, b = 3.190 Å, c = 12.784 Å
α = 90.00°, β = 93.65°, γ = 90.00°
Space group C2/m (No. 12)
Asymmetric unit:
Tl 0.179 0.000 0.342 x4
Pd 0.000 0.500 0.500 x2
N 0.039 0.500 0.963 x4

---

(12)
The following is a DFT calculation (PBE) of a relaxed structure of TlPdN3.

spin magnetization: 3.5 Bohr magnetons per cell

a = 4.066 Å, b = 4.066 Å, c = 4.066 Å
α = 90.00°, β = 90.00°, γ = 90.00°
Space group Pm-3m (No. 221)
Asymmetric unit:
Tl 0.000 0.000 0.000 x1
Pd 0.500 0.500 0.500 x1
N 0.000 0.500 0.500 x3

---

(13)
The following is a DFT calculation (PBE) of a relaxed structure of Tl2PdN.

offset from the most stable computed form: 0.0 meV/atom
spin magnetization: 0.0 Bohr magnetons per cell

a = 6.491 Å, b = 6.491 Å, c = 8.025 Å
α = 90.00°, β = 90.00°, γ = 90.00°
Space group I-42d (No. 122)
Asymmetric unit:
Tl 0.194 0.250 0.125 x8
Pd 0.000 0.000 0.500 x4
N 0.000 0.000 0.000 x4

---

(14)
The following is a DFT calculation (PBE) of a relaxed structure of TlPdN2.

offset from the most stable computed form: 923.0 meV/atom
spin magnetization: 0.0 Bohr magnetons per cell

a = 5.065 Å, b = 5.065 Å, c = 10.223 Å
α = 90.00°, β = 90.00°, γ = 90.00°
Space group I-42d (No. 122)
Asymmetric unit:
Tl 0.000 0.000 0.000 x4
Pd 0.000 0.000 0.500 x4
N 0.188 0.250 0.625 x8

---

(15)
The following is a DFT calculation (PBE) of a relaxed structure of TlPdN2.

offset from the most stable computed form: 0.0 meV/atom
spin magnetization: 0.0 Bohr magnetons per cell

a = 3.741 Å, b = 3.918 Å, c = 8.125 Å
α = 82.51°, β = 86.02°, γ = 89.95°
Space group P1 (No. 1)
Asymmetric unit:
Tl 0.000 0.000 0.000 x1
Pd 0.500 0.501 0.998 x1
N 0.521 0.769 0.553 x1
N 0.695 0.630 0.468 x1

---

(16)
The following is a DFT calculation (PBE) of a relaxed structure of TlPd3N.

offset from the most stable computed form: 1700.6 meV/atom
spin magnetization: 2.4 Bohr magnetons per cell

a = 5.165 Å, b = 5.165 Å, c = 5.165 Å
α = 90.00°, β = 90.00°, γ = 90.00°
Space group Pm-3m (No. 221)
Asymmetric unit:
Tl 0.000 0.000 0.000 x1
Pd 0.000 0.000 0.500 x3
N 0.500 0.500 0.500 x1

---

(17)
The following is a DFT calculation (PBE) of a relaxed structure of TlPdN2.

offset from the most stable computed form: 1101.6 meV/atom
spin magnetization: 0.0 Bohr magnetons per cell

a = 3.4265 Å, b = 3.4265 Å, c = 18.9554 Å
α = 90.00°, β = 90.00°, γ = 120.00°
Space group R-3m (No. 166, hexagonal axes)
Asymmetric unit:
Tl 0.0000 0.0000 0.0000 x3
Pd 0.0000 0.0000 0.5000 x3
N 0.0000 0.0000 0.3997 x6

---

(18)
The following is a DFT calculation (PBE) of a relaxed structure of Tl2PdN.

offset from the most stable computed form: 330.5 meV/atom
spin magnetization: 0.0 Bohr magnetons per cell

a = 6.703 Å, b = 6.703 Å, c = 6.703 Å
α = 90.00°, β = 90.00°, γ = 90.00°
Space group Fm-3m (No. 225)
Asymmetric unit:
Tl 0.250 0.250 0.250 x8
Pd 0.000 0.000 0.000 x4
N 0.000 0.000 0.500 x4

---

(19)
The following is a DFT calculation (PBE) of a relaxed structure of TlPd3N.

offset from the most stable computed form: 0.0 meV/atom
spin magnetization: 0.0 Bohr magnetons per cell

a = 4.256 Å, b = 4.256 Å, c = 4.256 Å
α = 90.00°, β = 90.00°, γ = 90.00°
Space group Pm-3m (No. 221)
Asymmetric unit:
Tl 0.000 0.000 0.000 x1
Pd 0.000 0.500 0.500 x3
N 0.500 0.500 0.500 x1

---

(20)
The following is a DFT calculation (PBE) of a relaxed structure of Tl3PdN.

offset from the most stable computed form: 163.8 meV/atom
spin magnetization: 1.9 Bohr magnetons per cell

a = 5.340 Å, b = 5.340 Å, c = 5.340 Å
α = 90.00°, β = 90.00°, γ = 90.00°
Space group Pm-3m (No. 221)
Asymmetric unit:
Tl 0.000 0.000 0.500 x3
Pd 0.000 0.000 0.000 x1
N 0.500 0.500 0.500 x1

---

(21)
The following is a DFT calculation (PBE) of a relaxed structure of TlPdN2.

offset from the most stable computed form: 1479.4 meV/atom
spin magnetization: 4.4 Bohr magnetons per cell

a = 5.878 Å, b = 5.878 Å, c = 5.878 Å
α = 90.00°, β = 90.00°, γ = 90.00°
Space group Fm-3m (No. 225)
Asymmetric unit:
Tl 0.000 0.000 0.000 x4
Pd 0.000 0.000 0.500 x4
N 0.250 0.250 0.250 x8

---

(22)
The following is a DFT calculation (PBE) of a relaxed structure of Tl2ZnPdN.

spin magnetization: 2.1 Bohr magnetons per cell

a = 5.330 Å, b = 5.330 Å, c = 4.867 Å
α = 90.00°, β = 90.00°, γ = 90.00°
Space group P4/mmm (No. 123)
Asymmetric unit:
Tl 0.000 0.500 0.000 x2
Zn 0.000 0.000 0.500 x1
Pd 0.000 0.000 0.000 x1
N 0.500 0.500 0.500 x1

---

(23)
The following is a DFT calculation (PBE) of a relaxed structure of Tm12Pd3N5.

spin magnetization: 0.0 Bohr magnetons per cell

a = 15.045 Å, b = 15.045 Å, c = 15.045 Å
α = 90.00°, β = 90.00°, γ = 90.00°
Space group Ia-3d (No. 230)
Asymmetric unit:
Tm 0.033 0.053 0.650 x96
Pd 0.000 0.250 0.125 x24
N 0.000 0.000 0.000 x16
N 0.000 0.250 0.375 x24

---

Total energy for the records above, in order: -8.421; -8.069; -8.188; -8.186; -8.682; -7.817; -8.657; -3.385; -3.777; -5.031; -5.247; -4.674; -3.944; -4.956; -5.879; -3.354; -4.778; -3.614; -5.055; -3.222; -4.400; -2.996; -6.545 eV per atom
Volume for the records above, in order: 266.70; 243.82; 558.14; 455.00; 63.97; 95.12; 82.09; 115.53; 78.67; 175.54; 275.66; 67.24; 338.12; 262.31; 117.78; 137.77; 192.74; 301.17; 77.12; 152.26; 203.10; 138.28; 3405.39 Å³/cell